Record 1
Material: NiPRuS2
Method: DFT, PBE
State: relaxed

a b c (Å): 4.6951 4.6951 4.3995
angles (deg): 90.00 90.00 90.00
Space group P4/mmm (No. 123)
Symmetry-distinct sites (fractional):
Ni 0.0000 0.0000 0.0000 x1
P 0.5000 0.5000 0.0000 x1
Ru 0.5000 0.5000 0.5000 x1
S 0.0000 0.5000 0.5000 x2

Properties
polymorph energy (0 for the lowest one): 0.24 eV per formula unit
energy: -24.3 eV per cell
uncorrected formation energy: 4.4 eV per formula unit
volume: 97.0 Å³/cell

Record 2
Material: NiP2RuS
Method: DFT, PBE
State: relaxed

a b c (Å): 4.2472 4.2472 4.4364
angles (deg): 90.00 90.00 90.00
Space group P4/mmm (No. 123)
Symmetry-distinct sites (fractional):
Ni 0.0000 0.0000 0.0000 x1
P 0.0000 0.5000 0.0000 x2
Ru 0.5000 0.5000 0.5000 x1
S 0.0000 0.0000 0.5000 x1

Properties
polymorph energy (0 for the lowest one): 0.00 eV per formula unit
energy: -25.8 eV per cell
uncorrected formation energy: 4.2 eV per formula unit
volume: 80.0 Å³/cell

Record 3
Material: NiP2RuS
Method: DFT, PBE
State: relaxed

a b c (Å): 4.3895 4.3895 5.1308
angles (deg): 90.00 90.00 90.00
Space group P4/mmm (No. 123)
Symmetry-distinct sites (fractional):
Ni 0.0000 0.0000 0.0000 x1
P 0.0000 0.5000 0.5000 x2
Ru 0.5000 0.5000 0.5000 x1
S 0.5000 0.5000 0.0000 x1

Properties
polymorph energy (0 for the lowest one): 0.25 eV per formula unit
energy: -25.6 eV per cell
uncorrected formation energy: 4.4 eV per formula unit
volume: 98.9 Å³/cell